Record 1
## Pr3AuSeCl (GGA-PBE)

Data for a geometry-optimized Pr3AuSeCl structure.

Properties
For the density of states at the Fermi level, the calculation gives 4.85 states/eV/f.u. The calculation puts the calculated total energy at -5.031 eV/atom. As for the formation energy (no corrections): -1.21 eV per atom.

Unit cell a=8.121 b=4.087 c=10.737 alpha=90.00 beta=109.11 gamma=90.00
Fractional positions:
1 Pr 0.031 0.250 0.276
2 Pr 0.240 0.250 0.034
3 Pr 0.389 0.750 0.595
4 Pr 0.611 0.250 0.405
5 Pr 0.760 0.750 0.966
6 Pr 0.969 0.750 0.724
7 Au 0.109 0.250 0.577
8 Au 0.891 0.750 0.423
9 Se 0.324 0.750 0.275
10 Se 0.676 0.250 0.725
11 Cl 0.357 0.750 0.881
12 Cl 0.643 0.250 0.119

Record 2
## Cu2Ir (GGA-PBE)

Data for a geometry-optimized Cu2Ir structure.

Properties
The value obtained for the energy above the most stable polymorph in this dataset is 0.167 eV per atom. For the density of states at the Fermi level, the calculation gives 3.93 states/eV/f.u. The calculation puts the formation enthalpy at 0 K at 0.22 eV/atom. The calculation puts the calculated total energy at -5.465 eV/atom.

Unit cell a=4.761 b=4.761 c=7.716 alpha=90.00 beta=90.00 gamma=120.00
Fractional positions:
1 Cu 0.000 0.000 0.000
2 Cu 0.000 0.000 0.500
3 Cu 0.170 0.341 0.250
4 Cu 0.170 0.830 0.250
5 Cu 0.341 0.170 0.750
6 Cu 0.659 0.830 0.250
7 Cu 0.830 0.170 0.750
8 Cu 0.830 0.659 0.750
9 Ir 0.333 0.667 0.567
10 Ir 0.333 0.667 0.933
11 Ir 0.667 0.333 0.067
12 Ir 0.667 0.333 0.433

Record 3
## NaLaTe3 (GGA-PBE)

Data for a geometry-optimized NaLaTe3 structure.

Properties
The value obtained for the energy above the most stable polymorph in this dataset is 0.000 eV per atom. For the density of states at the Fermi level, the calculation gives 10.56 states/eV/f.u. The calculation puts the calculated total energy at -3.728 eV/atom. As for the formation energy (no corrections): -0.59 eV per atom.

Unit cell a=6.176 b=6.176 c=6.176 alpha=90.00 beta=90.00 gamma=90.00
Fractional positions:
1 Na 0.000 0.000 0.000
2 La 0.500 0.500 0.500
3 Te 0.000 0.500 0.500
4 Te 0.500 0.000 0.500
5 Te 0.500 0.500 0.000

Record 4
## Pm12Ge6Pb (GGA-PBE)

Data for a geometry-optimized Pm12Ge6Pb structure.

Properties
For the density of states at the Fermi level, the calculation gives 13.32 states/eV/f.u. The calculation puts the formation enthalpy at 0 K at -0.60 eV/atom. The calculation puts the calculated total energy at -5.252 eV/atom.

Unit cell a=8.927 b=8.927 c=8.927 alpha=109.47 beta=109.47 gamma=109.47
Fractional positions:
1 Pm 0.108 0.296 0.812
2 Pm 0.188 0.483 0.296
3 Pm 0.188 0.892 0.704
4 Pm 0.296 0.188 0.483
5 Pm 0.296 0.812 0.108
6 Pm 0.483 0.296 0.188
7 Pm 0.517 0.704 0.812
8 Pm 0.704 0.188 0.892
9 Pm 0.704 0.812 0.517
10 Pm 0.812 0.108 0.296
11 Pm 0.812 0.517 0.704
12 Pm 0.892 0.704 0.188
13 Ge 0.120 0.500 0.620
14 Ge 0.380 0.880 0.500
15 Ge 0.500 0.380 0.880
16 Ge 0.500 0.620 0.120
17 Ge 0.620 0.120 0.500
18 Ge 0.880 0.500 0.380
19 Pb 0.000 0.000 0.000

What did the third record say?
## NaLaTe3 (GGA-PBE)

Data for a geometry-optimized NaLaTe3 structure.

Properties
The value obtained for the energy above the most stable polymorph in this dataset is 0.000 eV per atom. For the density of states at the Fermi level, the calculation gives 10.56 states/eV/f.u. The calculation puts the calculated total energy at -3.728 eV/atom. As for the formation energy (no corrections): -0.59 eV per atom.

Unit cell a=6.176 b=6.176 c=6.176 alpha=90.00 beta=90.00 gamma=90.00
Fractional positions:
1 Na 0.000 0.000 0.000
2 La 0.500 0.500 0.500
3 Te 0.000 0.500 0.500
4 Te 0.500 0.000 0.500
5 Te 0.500 0.500 0.000

- Among the records above, which one has the highest calculated total energy?
  NaLaTe3